VASP calculation (PBE) on crystalline Na2TiSeO2 at its relaxed geometry.

Unit cell a=4.0362 b=4.0362 c=6.4969 alpha=108.10 beta=108.10 gamma=90.00
With the nearest neighbours (Å) after each atom.
Atoms (fractional coordinates):
Na 0.2500 0.7500 0.5000  4 O 2.30
Na 0.7500 0.2500 0.5000  4 O 2.30
Ti 0.0000 0.0000 0.0000  2 O 1.81
Se 0.5000 0.5000 0.0000  4 Ti 2.85
O 0.8447 0.8447 0.6894  1 Ti 1.81
O 0.1553 0.1553 0.3106  1 Ti 1.81

Computed properties:
- Raw formation energy: -1719 meV per atom
- Crystal system: tetragonal



VASP calculation (PBE) on crystalline CrCd2W at its relaxed geometry.

Unit cell a=4.5683 b=3.8905 c=3.8905 alpha=90.00 beta=90.00 gamma=90.00
With the nearest neighbours (Å) after each atom.
Atoms (fractional coordinates):
Cd 0.0000 0.0000 0.0000  4 Cd 2.75, 4 Cr 3.00, 4 W 3.00
Cd 0.0000 0.5000 0.5000  4 Cd 2.75, 4 Cr 3.00, 4 W 3.00
Cr 0.5000 0.5000 0.0000  4 W 2.75, 8 Cd 3.00
W 0.5000 0.0000 0.5000  4 Cr 2.75, 8 Cd 3.00

Computed properties:
- Polymorph energy (0 for the lowest one): 0.3101 eV/atom
- Formation energy from the elements: 0.680 eV per atom
- Crystal system: tetragonal



VASP calculation (PBE) on crystalline Sb7C5 at its relaxed geometry.

Unit cell a=8.3525 b=8.3525 c=8.3525 alpha=97.20 beta=97.20 gamma=138.55
With the nearest neighbours (Å) after each atom.
Atoms (fractional coordinates):
Sb 0.3837 0.3837 0.0000  1 C 2.25
Sb 0.9475 0.4475 0.5000  4 Sb 2.96-3.04
Sb 0.4475 0.9475 0.5000  4 Sb 2.96-3.04
Sb 0.5348 0.7755 0.7592  2 C 2.17
Sb 0.0163 0.7755 0.2408  2 C 2.17
Sb 0.7755 0.5348 0.7592  2 C 2.17
Sb 0.7755 0.0163 0.2408  2 C 2.17
C 0.0036 0.0036 0.0000  4 C 1.63
C 0.8515 0.8515 0.7952  1 C 1.63
C 0.0563 0.0563 0.2048  1 C 1.63
C 0.0563 0.8515 0.0000  1 C 1.63
C 0.8515 0.0563 0.0000  1 C 1.63

Computed properties:
- Raw formation energy: 1474 meV per atom
- Crystal system: tetragonal



For each record above, in turn, the calculated total moment values are 0.000, 1.477, 0.000 μB/cell.
For each record above, in turn, the calculated density of states at the Fermi level values are 1.7, 2.6, 6.1 states/eV/f.u..